# MgMoOs (PBE, relaxed)
data_MgMoOs
_chemical_formula_sum 'Mg1 Mo1 Os1'
_space_group_name_H-M_alt 'P 1'
_space_group_IT_number 1
_cell_length_a 5.5029
_cell_length_b 5.5029
_cell_length_c 5.5029
_cell_angle_alpha 147.45
_cell_angle_beta 147.45
_cell_angle_gamma 46.69
loop_
_space_group_symop_operation_xyz
'x,y,z'
loop_
_atom_site_label
_atom_site_type_symbol
_atom_site_fract_x
_atom_site_fract_y
_atom_site_fract_z
_atom_site_occupancy
Os1 Os 0.6784 0.6784 0.0000 1
Mo1 Mo 0.3169 0.3169 0.0000 1
Mg1 Mg 0.0046 0.0046 0.0000 1
# Electronic total energy ... -7.8072 eV per atom
# DFT formation energy ... 0.23 eV per formula unit
# Energy relative to the lowest polymorph listed for this composition ... 0.000 eV per atom